Entry 1:
Here is a geometry-optimized NaTlPS2 structure from Alexandria via LeMat-Bulk. Energies are from PBE.

Values from the calculation:
Spin magnetization: 3.3 Bohr magnetons per cell
ΔE to the lowest computed polymorph: 0.2515 eV per atom
V: 138.09 Å³/cell

a = 5.149 Å, b = 5.149 Å, c = 5.208 Å
α = 90.00°, β = 90.00°, γ = 90.00°
Element x y z (fractional)
P 0.000 0.000 0.500
Tl 0.500 0.500 0.500
S 0.000 0.500 0.000
S 0.500 0.000 0.000
Na 0.000 0.000 0.000

Entry 2:
Here is a geometry-optimized Cr2CuBi structure from Alexandria via LeMat-Bulk. Energies are from PBE.

Values from the calculation:
Spin magnetization: 0.0 Bohr magnetons per cell
Energy relative to the elements: 0.869 eV/atom
V: 134.74 Å³/cell

a = 3.789 Å, b = 3.789 Å, c = 9.758 Å
α = 78.80°, β = 78.80°, γ = 90.00°
Element x y z (fractional)
Cr 0.539 0.125 0.250
Cr 0.211 0.625 0.250
Cr 0.375 0.461 0.750
Cr 0.875 0.789 0.750
Bi 0.000 0.000 0.000
Bi 0.750 0.250 0.500
Cu 0.500 0.500 0.000
Cu 0.250 0.750 0.500

Entry 3:
Here is a geometry-optimized BaBSbS2 structure from Alexandria via LeMat-Bulk. Energies are from PBE.

Values from the calculation:
Spin magnetization: 1.5 Bohr magnetons per cell
V: 171.82 Å³/cell

a = 5.063 Å, b = 6.703 Å, c = 5.063 Å
α = 90.00°, β = 90.00°, γ = 90.00°
Element x y z (fractional)
Sb 0.000 0.000 0.000
S 0.000 0.000 0.500
S 0.500 0.000 0.000
B 0.500 0.500 0.500
Ba 0.000 0.500 0.000

So what do the calculations give for E_tot? Going down the list: -2.714, -5.937, -3.372 eV per atom.